# 1
Below is a geometry-optimized LiSn2GeF structure, with properties calculated at the PBE level.

Structure (extended XYZ):
```
5
Lattice="5.688 0.000 0.000 0.000 3.314 0.000 0.000 0.000 5.688" Properties=species:S:1:pos:R:3 pbc="T T T"
Sn 0.000 0.000 2.844
Sn 2.844 0.000 0.000
Li 0.000 0.000 0.000
F 0.000 1.657 0.000
Ge 2.844 1.657 2.844
```

Output
DOS(E_F)   0.666 states/eV per atom
E   -3.8405 eV/atom
Magnetization   0.00 μB per formula unit
Formation energy without anion corrections   -0.56 eV per atom
Space-group type   P4/mmm, No. 123

# 2
Below is a geometry-optimized LiSnGeF2 structure, with properties calculated at the PBE level.

Structure (extended XYZ):
```
5
Lattice="-1.291 3.372 1.595 -4.140 -0.136 -3.063 -1.963 -2.049 2.744" Properties=species:S:1:pos:R:3 pbc="T T T"
Li 0.000 0.000 0.000
Sn -3.697 0.593 0.637
F -0.646 1.686 0.797
F -0.981 -1.025 1.372
Ge -2.070 -0.068 -1.532
```

Output
DOS(E_F)   0.348 states/eV per atom
E   -4.0657 eV/atom
Magnetization   0.00 μB per formula unit
Formation energy without anion corrections   -1.21 eV per atom
Space-group type   P4/mmm, No. 123

# 3
Below is a geometry-optimized SrLi2GeF8 structure, with properties calculated at the PBE level.

Structure (extended XYZ):
```
12
Lattice="-0.567 1.642 -4.486 -4.289 -2.057 -0.969 -3.966 5.532 1.686" Properties=species:S:1:pos:R:3 pbc="T T T"
Ge 0.000 0.000 0.000
Li -3.755 1.331 -2.487
Li -5.067 3.786 -1.282
F -6.732 3.167 -0.307
F -4.987 5.218 0.253
F -4.526 5.352 -2.428
F -3.835 -0.101 -4.022
F -3.531 2.627 -0.961
F -2.090 1.951 -3.462
F -5.291 2.491 -2.807
F -4.296 -0.235 -1.340
Sr -1.983 2.766 0.843
```

Output
DOS(E_F)   0.000 states/eV per atom
E   -5.0581 eV/atom
Magnetization   0.00 μB per formula unit
Formation energy without anion corrections   -2.97 eV per atom
Space-group type   P-1, No. 2

# 4
Below is a geometry-optimized Sr2LiGeF structure, with properties calculated at the PBE level.

Structure (extended XYZ):
```
5
Lattice="-2.202 4.374 -1.699 -2.764 -2.726 -3.435 -3.172 -0.462 2.919" Properties=species:S:1:pos:R:3 pbc="T T T"
Sr -1.101 2.187 -0.850
Sr -1.382 -1.363 -1.717
Ge -4.069 0.593 -1.107
Li -1.586 -0.231 1.460
F 0.000 0.000 0.000
```

Output
DOS(E_F)   0.200 states/eV per atom
E   -3.7269 eV/atom
Magnetization   0.00 μB per formula unit
Formation energy without anion corrections   -1.37 eV per atom
Space-group type   P4/mmm, No. 123

# 5
Below is a geometry-optimized LiTi2GeF structure, with properties calculated at the PBE level.

Structure (extended XYZ):
```
5
Lattice="-4.317 1.376 0.327 -1.251 -3.699 -0.958 -0.027 -1.131 4.400" Properties=species:S:1:pos:R:3 pbc="T T T"
F -2.798 -1.727 1.884
Ti -2.158 0.688 0.163
Ti -0.014 -0.565 2.200
Li 0.000 0.000 0.000
Ge -0.626 -1.850 -0.479
```

Output
DOS(E_F)   0.468 states/eV per atom
E   -4.5250 eV/atom
Magnetization   0.00 μB per formula unit
Formation energy without anion corrections   0.31 eV per atom
Space-group type   P4/mmm, No. 123

# 6
Below is a geometry-optimized Li2TlGeF8 structure, with properties calculated at the PBE level.

Structure (extended XYZ):
```
12
Lattice="-0.885 -0.064 -4.679 3.113 -3.470 -0.977 -4.740 -5.237 0.305" Properties=species:S:1:pos:R:3 pbc="T T T"
F -0.982 -1.728 -3.857
F -3.910 -5.015 -3.717
F -1.635 -3.757 -1.698
F 1.398 -3.756 -1.635
F -4.033 -5.988 -1.165
F -1.530 -7.042 -1.494
F -0.877 -5.014 -3.653
F 1.522 -2.783 -4.187
Ge 0.000 0.000 0.000
Li -0.054 -3.299 -2.973
Li -2.457 -5.471 -2.378
Tl -2.370 -2.618 0.152
```

Output
DOS(E_F)   0.214 states/eV per atom
E   -4.5618 eV/atom
Magnetization   0.00 μB per formula unit
Formation energy without anion corrections   -2.41 eV per atom
Space-group type   P-1, No. 2

# 7
Below is a geometry-optimized Li2TlGeF structure, with properties calculated at the PBE level.

Structure (extended XYZ):
```
5
Lattice="5.044 0.000 0.000 0.000 4.351 0.000 0.000 0.000 5.044" Properties=species:S:1:pos:R:3 pbc="T T T"
Ge 0.000 0.000 0.000
Li 0.000 0.000 2.522
Li 2.522 0.000 0.000
F 0.000 2.176 0.000
Tl 2.522 2.176 2.522
```

Output
DOS(E_F)   0.305 states/eV per atom
E   -3.0100 eV/atom
Magnetization   0.00 μB per formula unit
Formation energy without anion corrections   -0.47 eV per atom
Space-group type   P4/mmm, No. 123

# 8
Below is a geometry-optimized LuGeF structure, with properties calculated at the PBE level.

Structure (extended XYZ):
```
3
Lattice="-3.680 0.767 2.958 -1.641 -3.103 -1.237 2.310 -0.151 2.914" Properties=species:S:1:pos:R:3 pbc="T T T"
Ge -1.460 -0.624 3.502
F -0.613 0.128 0.493
Lu -0.937 -1.991 0.640
```

Output
DOS(E_F)   0.225 states/eV per atom
E   -5.4397 eV/atom
Magnetization   0.00 μB per formula unit
Formation energy without anion corrections   -1.77 eV per atom
Space-group type   P-6m2, No. 187